Sm6PbS4 after structural relaxation, computed with PBE-GGA.

Computed properties:
crystal system: orthorhombic
energy relative to the elements, uncorrected: -1.596 eV/atom

Unit cell a=7.0015 b=7.0015 c=20.6103 alpha=90.00 beta=90.00 gamma=146.16
Atoms (fractional coordinates):
1 Sm 0.0000 0.0000 0.0000
2 Sm 0.0000 0.0000 0.5000
3 Sm 0.1562 0.8438 0.7500
4 Sm 0.2714 0.7286 0.0826
5 Sm 0.2714 0.7286 0.4174
6 Sm 0.4625 0.5375 0.6567
7 Sm 0.4625 0.5375 0.8433
8 Sm 0.5375 0.4625 0.1567
9 Sm 0.5375 0.4625 0.3433
10 Sm 0.7286 0.2714 0.5826
11 Sm 0.7286 0.2714 0.9174
12 Sm 0.8438 0.1562 0.2500
13 Pb 0.1612 0.8388 0.2500
14 Pb 0.8388 0.1612 0.7500
15 S 0.0957 0.9043 0.6219
16 S 0.0957 0.9043 0.8781
17 S 0.3626 0.6374 0.5393
18 S 0.3626 0.6374 0.9607
19 S 0.6374 0.3626 0.0393
20 S 0.6374 0.3626 0.4607
21 S 0.9043 0.0957 0.1219
22 S 0.9043 0.0957 0.3781